The following is a GGA-PBE calculation of an optimized crystal structure of CsKPbSe2, from the Alexandria database.

```
10
Lattice="8.8362 -2.3900 0.0000 8.8362 2.3900 0.0000 -2.1440 0.0000 11.0636" Properties=species:S:1:pos:R:3 pbc="T T T"
Cs 1.9287 0.0000 1.3915
Cs 13.5997 0.0000 9.6722
K 1.7314 0.0000 6.2592
K 13.7970 0.0000 4.8044
Pb 7.9223 0.0000 3.7649
Pb 7.6061 0.0000 7.2988
Se -0.5769 0.0000 8.8429
Se 4.8710 0.0000 7.0980
Se 10.6574 0.0000 3.9656
Se 16.1053 0.0000 2.2208
```

Values from the calculation:
Calculated volume   46.73 Å³/atom
Formation energy from raw total energies   -879 meV/atom
E_tot   -3.404 eV/atom

***

The following is a GGA-PBE calculation of an optimized crystal structure of LiCe2Al3Au4, from the Alexandria database.

```
10
Lattice="4.4715 0.0000 0.0000 0.0000 4.4715 0.0000 0.0000 0.0000 10.2554" Properties=species:S:1:pos:R:3 pbc="T T T"
Li 0.0000 0.0000 0.0000
Ce 0.0000 2.2357 7.6721
Ce 2.2357 0.0000 2.5833
Al 0.0000 2.2357 3.7834
Al 2.2357 0.0000 6.4720
Al 2.2357 2.2357 0.0000
Au 0.0000 0.0000 5.1277
Au 0.0000 2.2357 1.2879
Au 2.2357 0.0000 8.9675
Au 2.2357 2.2357 5.1277
```

Values from the calculation:
Calculated volume   20.50 Å³/atom
E_tot   -4.438 eV/atom
DFT formation energy   -0.63 eV per atom

***

The following is a GGA-PBE calculation of an optimized crystal structure of FeNiH5Rh2, from the Alexandria database.

```
18
Lattice="1.4280 -5.4213 0.0000 1.4280 5.4213 0.0000 0.0000 0.0000 8.6401" Properties=species:S:1:pos:R:3 pbc="T T T"
Fe 1.4280 2.7815 4.3201
Fe 1.4280 -2.7815 0.0000
Ni 1.4280 0.3227 8.5442
Ni 1.4280 -0.3227 4.2241
H 1.4280 4.6733 5.0278
H 1.4280 2.3620 1.4756
H 1.4280 1.7846 7.5273
H 1.4280 1.1075 5.1643
H 1.4280 0.4754 2.7569
H 1.4280 -0.4754 7.0770
H 1.4280 -1.1075 0.8443
H 1.4280 -1.7846 3.2072
H 1.4280 -2.3620 5.7957
H 1.4280 -4.6733 0.7077
Rh 1.4280 4.0595 1.9438
Rh 1.4280 3.9333 6.7472
Rh 1.4280 -3.9333 2.4271
Rh 1.4280 -4.0595 6.2639
```

Values from the calculation:
Calculated volume   7.43 Å³/atom
E_tot   -5.051 eV/atom